No. 1
Sc6Tl2Pt | the Alexandria database | PBE | relaxed; energy relative to the lowest polymorph listed for this composition = 0 meV/atom; DFT total energy = -53.2 eV for the cell shown; ΔE_f = -0.49 eV per atom; spin magnetization = 2.0 Bohr magnetons per cell
1.0
-1.8724 -1.8119 2.5017
3.8848 -6.8526 -2.0557
3.0573 4.8326 5.7885
Sc Pt Tl
6 1 2
Direct
0.0000 0.2497 0.0000
0.5000 0.3856 0.3856
0.0000 0.7507 0.7509
0.5000 0.6139 0.0000
0.0000 0.9997 0.2491
0.5000 0.0000 0.6144
0.5000 0.0006 0.0000
0.0000 0.3332 0.6664
0.0000 0.6667 0.3336

No. 2
Pm2HoSi3Rh4 | the Alexandria database | PBE | relaxed; DFT total energy = -69.6 eV for the cell shown; spin magnetization = 0.0 Bohr magnetons per cell; formation energy from raw total energies = -0.983 eV per atom
1.0
4.1434 0.0000 0.0000
0.0000 4.1434 0.0000
0.0000 0.0000 10.8588
Pm Rh Si Ho
2 4 3 1
Direct
0.5000 0.0000 0.2313
0.0000 0.5000 0.7687
0.5000 0.5000 0.0000
0.0000 0.0000 0.0000
0.5000 0.0000 0.6607
0.0000 0.5000 0.3393
0.0000 0.0000 0.5000
0.0000 0.5000 0.1178
0.5000 0.0000 0.8822
0.5000 0.5000 0.5000

No. 3
Sm3Tl3SbTe8 | the Alexandria database | PBE | relaxed; DFT total energy = -63.1 eV for the cell shown; spin magnetization = 0.0 Bohr magnetons per cell; formation energy from raw total energies = -0.838 eV per atom
1.0
9.0057 0.0000 0.0000
-4.5028 7.7965 -0.0297
0.0000 -5.1679 8.1085
Te Sm Tl Sb
8 3 3 1
Direct
0.7647 0.5295 0.2858
0.7406 0.4812 0.7212
0.2353 0.4705 0.7142
0.2353 0.9792 0.7133
0.7647 0.0208 0.2867
0.2594 0.5188 0.2788
0.2562 0.0208 0.2867
0.7438 0.9792 0.7133
0.5000 0.5000 0.5000
0.0000 0.5000 0.5000
0.5000 0.0000 0.5000
0.0000 0.0000 0.0000
0.5000 0.5000 0.0000
0.0000 0.5000 0.0000
0.0000 0.0000 0.5000

Q: What is the formula in the third record?
A: Sm3Tl3SbTe8

Q: Which value of spin magnetization does entry 1 give?
A: 2.0 Bohr magnetons per cell

Please write out number 1 again, unchanged.
Sc6Tl2Pt | the Alexandria database | PBE | relaxed; energy relative to the lowest polymorph listed for this composition = 0 meV/atom; DFT total energy = -53.2 eV for the cell shown; ΔE_f = -0.49 eV per atom; spin magnetization = 2.0 Bohr magnetons per cell
1.0
-1.8724 -1.8119 2.5017
3.8848 -6.8526 -2.0557
3.0573 4.8326 5.7885
Sc Pt Tl
6 1 2
Direct
0.0000 0.2497 0.0000
0.5000 0.3856 0.3856
0.0000 0.7507 0.7509
0.5000 0.6139 0.0000
0.0000 0.9997 0.2491
0.5000 0.0000 0.6144
0.5000 0.0006 0.0000
0.0000 0.3332 0.6664
0.0000 0.6667 0.3336

Q: Which formula does entry 1 have?
A: Sc6Tl2Pt